[1]
Here is an optimized crystal structure of NaIBrN2 from Alexandria. Energies are from PBE-GGA.

Summary:
E: -14.0 eV per cell
ΔE to the lowest computed polymorph: 0 meV per atom
size of the total moment: 3.2 μB per formula unit
uncorrected formation energy: 1.431 eV/atom
ρ: 2.666 Mg/m³

Lattice parameters (Å, degrees): 4.2955 4.2955 8.7017 90.00 90.00 90.00
Last column: nearest neighbours and their distance in Å.
Element x y z (fractional)
Na  0.0000  0.0000  0.0000  4 I 3.04
I  0.5000  0.5000  0.0000  4 Na 3.04
Br  0.5000  0.5000  0.5000  4 N 2.15
N  0.0000  0.5000  0.5000  2 Br 2.15
N  0.5000  0.0000  0.5000  2 Br 2.15

---

[2]
Here is an optimized crystal structure of NaIBrN2 from Alexandria. Energies are from PBE-GGA.

Summary:
E: -12.7 eV per cell
ΔE to the lowest computed polymorph: 262 meV per atom
size of the total moment: 5.4 μB per formula unit
uncorrected formation energy: 1.693 eV/atom
ρ: 2.922 Mg/m³

Lattice parameters (Å, degrees): 4.6979 4.6979 6.6386 90.00 90.00 90.00
Last column: nearest neighbours and their distance in Å.
Element x y z (fractional)
Na  0.0000  0.0000  0.0000  4 N 2.35
I  0.0000  0.0000  0.5000  2 Na 3.32, 4 Br 3.32
Br  0.5000  0.5000  0.5000  4 I 3.32
N  0.0000  0.5000  0.0000  2 Na 2.35
N  0.5000  0.0000  0.0000  2 Na 2.35

---

[3]
Here is an optimized crystal structure of NiIBrN2 from Alexandria. Energies are from PBE-GGA.

Summary:
E: -15.1 eV per cell
ΔE to the lowest computed polymorph: 655 meV per atom
size of the total moment: 0.0 μB per formula unit
uncorrected formation energy: 2.110 eV/atom
ρ: 4.237 Mg/m³

Lattice parameters (Å, degrees): 3.8018 3.8018 7.9594 90.00 90.00 90.00
Last column: nearest neighbours and their distance in Å.
Element x y z (fractional)
Ni  0.0000  0.0000  0.0000  4 I 2.69
I  0.5000  0.5000  0.0000  4 Ni 2.69
Br  0.5000  0.5000  0.5000  4 N 1.90
N  0.0000  0.5000  0.5000  2 Br 1.90
N  0.5000  0.0000  0.5000  2 Br 1.90